(1)
# Al6Ga12Re | Alexandria | PBE | relaxed
data_Al6Ga12Re
_cell_length_a 7.0764
_cell_length_b 7.0764
_cell_length_c 7.0764
_cell_angle_alpha 81.93
_cell_angle_beta 81.93
_cell_angle_gamma 81.93
_symmetry_space_group_name_H-M 'P 1'
_symmetry_Int_Tables_number 1
loop_
_symmetry_equiv_pos_as_xyz
'x,y,z'
loop_
_atom_site_label
_atom_site_type_symbol
_atom_site_fract_x
_atom_site_fract_y
_atom_site_fract_z
_atom_site_occupancy
Al1 Al 0.8355 0.7961 0.3267 1
Al2 Al 0.6733 0.1645 0.2039 1
Al3 Al 0.2039 0.6733 0.1645 1
Al4 Al 0.1645 0.2039 0.6733 1
Al5 Al 0.3267 0.8355 0.7961 1
Al6 Al 0.7961 0.3267 0.8355 1
Ga1 Ga 0.8496 0.4125 0.4500 1
Ga2 Ga 0.4500 0.8496 0.4125 1
Ga3 Ga 0.4125 0.4500 0.8496 1
Ga4 Ga 0.1504 0.5875 0.5500 1
Ga5 Ga 0.5500 0.1504 0.5875 1
Ga6 Ga 0.5875 0.5500 0.1504 1
Ga7 Ga 0.1117 0.0447 0.3517 1
Ga8 Ga 0.9553 0.6483 0.8883 1
Ga9 Ga 0.6483 0.8883 0.9553 1
Ga10 Ga 0.8883 0.9553 0.6483 1
Ga11 Ga 0.0447 0.3517 0.1117 1
Ga12 Ga 0.3517 0.1117 0.0447 1
Re1 Re 0.0000 0.0000 0.0000 1
# E_tot	-3.720	eV/atom
# Fermi-level density of states	4.52	states/eV/f.u.
# relative energy among the computed polymorphs	0	meV/atom
# E_form	0.65	kcal/mol of atoms
# V	18.144	Å³ per atom
# space group	R-3 (148)



(2)
# Al3GaRe | Alexandria | PBE | relaxed
data_Al3GaRe
_cell_length_a 4.8358
_cell_length_b 4.8358
_cell_length_c 4.8358
_cell_angle_alpha 90.00
_cell_angle_beta 90.00
_cell_angle_gamma 90.00
_symmetry_space_group_name_H-M 'P 1'
_symmetry_Int_Tables_number 1
loop_
_symmetry_equiv_pos_as_xyz
'x,y,z'
loop_
_atom_site_label
_atom_site_type_symbol
_atom_site_fract_x
_atom_site_fract_y
_atom_site_fract_z
_atom_site_occupancy
Re1 Re 0.0000 0.0000 0.0000 1
Al1 Al 0.0000 0.5000 0.0000 1
Al2 Al 0.0000 0.0000 0.5000 1
Al3 Al 0.5000 0.0000 0.0000 1
Ga1 Ga 0.5000 0.5000 0.5000 1
# E_tot	-5.036	eV/atom
# Fermi-level density of states	2.59	states/eV/f.u.
# relative energy among the computed polymorphs	264	meV/atom
# E_form	7.02	kcal/mol of atoms
# V	22.618	Å³ per atom
# space group	Pm-3m (221)



(3)
# Al7Ga2Re2 | Alexandria | PBE | relaxed
data_Al7Ga2Re2
_cell_length_a 4.9592
_cell_length_b 6.2513
_cell_length_c 6.2513
_cell_angle_alpha 81.51
_cell_angle_beta 76.64
_cell_angle_gamma 76.64
_symmetry_space_group_name_H-M 'P 1'
_symmetry_Int_Tables_number 1
loop_
_symmetry_equiv_pos_as_xyz
'x,y,z'
loop_
_atom_site_label
_atom_site_type_symbol
_atom_site_fract_x
_atom_site_fract_y
_atom_site_fract_z
_atom_site_occupancy
Al1 Al 0.7548 0.9304 0.5708 1
Al2 Al 0.2452 0.4292 0.0696 1
Al3 Al 0.2452 0.0696 0.4292 1
Al4 Al 0.7548 0.5708 0.9304 1
Al5 Al 0.5000 0.0000 0.0000 1
Al6 Al 0.2488 0.5083 0.5083 1
Al7 Al 0.7512 0.4917 0.4917 1
Ga1 Ga 0.0000 0.8307 0.1693 1
Ga2 Ga 0.0000 0.1693 0.8307 1
Re1 Re 0.3146 0.7713 0.7713 1
Re2 Re 0.6854 0.2287 0.2287 1
# E_tot	-5.269	eV/atom
# Fermi-level density of states	2.47	states/eV/f.u.
# E_form	-1.69	kcal/mol of atoms
# V	16.594	Å³ per atom
# space group	C2/m (12)



Which value of V does entry 1 give? 18.144 Å³ per atom



Which formula does entry 2 have? Al3GaRe



Which value of V does entry 1 give? 18.144 Å³ per atom